HfScAl GGA-PBE relaxed; ΔE to the lowest computed polymorph = 0.0 meV per atom; energy relative to the elements = -281 meV/atom; DOS(E_F) = 1.97 states/eV per cell; crystal system = tetragonal
1.0
-1.574 1.574 6.219
1.574 -1.574 6.219
1.574 1.574 -6.219
Hf Sc Al
1 1 1
Cartesian
0.000 0.000 0.000 Hf
0.000 0.000 3.977 Sc
0.000 0.000 8.168 Al